No. 1
VASP calculation (PBE) on a relaxed BaGeSe3 crystal.

a = 5.1634 Å, b = 5.1634 Å, c = 5.1634 Å
α = 90.00°, β = 90.00°, γ = 90.00°
Fractional coordinates of all 5 atoms:
Se 0.0000 0.0000 0.5000
Ge 0.0000 0.0000 0.0000
Ba 0.5000 0.5000 0.5000
Se 0.0000 0.5000 0.0000
Se 0.5000 0.0000 0.0000

For the energy above the lowest structure with this stoichiometry, the calculation gives 0.2087 eV per atom. The uncorrected formation energy is -0.7891 eV/atom.



No. 2
VASP calculation (PBE) on a relaxed Ba2GeSe4 crystal.

a = 5.1224 Å, b = 5.1224 Å, c = 8.9541 Å
α = 73.38°, β = 73.38°, γ = 90.00°
Fractional coordinates of all 7 atoms:
Se 0.8385 0.8385 0.3231
Se 0.5000 0.0000 0.0000
Ge 0.0000 0.0000 0.0000
Se 0.0000 0.5000 0.0000
Ba 0.6395 0.6395 0.7210
Ba 0.3605 0.3605 0.2790
Se 0.1615 0.1615 0.6769

For the energy above the lowest structure with this stoichiometry, the calculation gives 0.2235 eV per atom. The uncorrected formation energy is -1.1349 eV/atom.



No. 3
VASP calculation (PBE) on a relaxed BaSi2GeSe8 crystal.

a = 6.1936 Å, b = 6.1936 Å, c = 9.4312 Å
α = 90.00°, β = 90.00°, γ = 120.00°
Fractional coordinates of all 12 atoms:
Se 0.3357 0.0298 0.6763
Si 0.6667 0.3333 0.2589
Se 0.6667 0.3333 0.0190
Se 0.3333 0.6667 0.9810
Se 0.0298 0.6941 0.3237
Ge 0.0000 0.0000 0.5000
Se 0.9702 0.3059 0.6763
Si 0.3333 0.6667 0.7411
Se 0.6941 0.6643 0.6763
Se 0.6643 0.9702 0.3237
Ba 0.0000 0.0000 0.0000
Se 0.3059 0.3357 0.3237

The uncorrected formation energy is -0.4679 eV/atom.



No. 4
VASP calculation (PBE) on a relaxed BaSmGeSe4 crystal.

a = 7.1406 Å, b = 7.0760 Å, c = 8.8054 Å
α = 90.00°, β = 108.00°, γ = 90.00°
Fractional coordinates of all 14 atoms:
Ge 0.2255 0.7500 0.3154
Sm 0.7751 0.7500 0.4432
Se 0.9846 0.4823 0.2761
Ba 0.2506 0.2500 0.0621
Se 0.0154 0.9823 0.7239
Se 0.4537 0.7500 0.5856
Se 0.5560 0.2500 0.8589
Se 0.4440 0.7500 0.1411
Ba 0.7494 0.7500 0.9379
Ge 0.7745 0.2500 0.6846
Se 0.5463 0.2500 0.4144
Se 0.9846 0.0177 0.2761
Se 0.0154 0.5177 0.7239
Sm 0.2249 0.2500 0.5568

The uncorrected formation energy is -1.2600 eV/atom.



No. 5
VASP calculation (PBE) on a relaxed Ba2SrGeSe4 crystal.

a = 8.9910 Å, b = 8.9910 Å, c = 8.9713 Å
α = 119.93°, β = 119.93°, γ = 89.99°
Fractional coordinates of all 16 atoms:
Se 0.7547 0.7450 0.5231
Ge 0.0000 0.0000 0.0000
Se 0.2281 0.7521 0.9901
Se 0.2521 0.7281 0.4901
Ge 0.5000 0.5000 0.5000
Se 0.7719 0.2479 0.0099
Sr 0.0000 0.5000 0.5000
Se 0.2453 0.2550 0.4769
Se 0.2450 0.2547 0.0231
Se 0.7550 0.7453 0.9769
Sr 0.0000 0.5000 0.0000
Ba 0.0000 0.0000 0.5000
Ba 0.5000 0.5000 0.0000
Se 0.7479 0.2719 0.5099
Ba 0.5000 0.0000 0.5000
Ba 0.5000 0.0000 0.0000

The uncorrected formation energy is -1.5186 eV/atom.



No. 6
VASP calculation (PBE) on a relaxed BaSr2GeSe4 crystal.

a = 8.8849 Å, b = 8.8849 Å, c = 8.8716 Å
α = 119.95°, β = 119.95°, γ = 89.99°
Fractional coordinates of all 16 atoms:
Se 0.2550 0.2451 0.4864
Ba 0.0000 0.5000 0.5000
Sr 0.5000 0.0000 0.5000
Se 0.7449 0.7549 0.5136
Se 0.2673 0.7534 0.5104
Ge 0.0000 0.0000 0.0000
Ge 0.5000 0.5000 0.5000
Se 0.7466 0.2327 0.9896
Se 0.2534 0.7673 0.0104
Se 0.2549 0.2450 0.0136
Se 0.7327 0.2466 0.4896
Sr 0.0000 0.0000 0.5000
Sr 0.5000 0.5000 0.0000
Se 0.7451 0.7550 0.9864
Ba 0.0000 0.5000 0.0000
Sr 0.5000 0.0000 0.0000

The uncorrected formation energy is -1.5120 eV/atom.